A) A plane-wave DFT calculation with PBE was carried out for a relaxed structure of LiCrSe3.

```
LiCrSe3
1.0
-3.0300 6.1138 1.4678
-7.4209 -3.2523 -1.7722
-0.7105 -1.9064 6.4739
Se Cr Li
12 4 4
Cartesian
-7.0362 0.9928 4.4107
-3.3028 4.2428 2.2209
-5.5515 3.2573 1.6839
-5.6099 -2.3023 4.4856
-7.3565 0.5655 0.6555
-5.9378 -2.7497 0.7989
-7.8586 -3.2878 3.9487
-1.8766 0.9478 2.2958
-3.8049 0.3896 5.5140
-5.2236 3.7048 5.3707
-9.2848 0.0073 3.8737
-4.1253 -0.0377 1.7588
-0.3553 -0.9532 3.2370
-1.5150 3.0569 0.7339
-4.0657 -2.5793 2.3509
-5.2254 1.4307 -0.1522
-7.1088 -1.0574 2.5965
-8.9528 1.1167 6.3281
-2.2087 -0.1617 -0.1586
-4.0526 2.0125 3.5730
```

mass density = 5.00 Mg/m³
magnetic moment = 0.590 μB per atom

***

B) A plane-wave DFT calculation with PBE was carried out for a relaxed structure of LiCrSe3.

```
LiCrSe3
1.0
19.5199 0.0000 -1.1799
0.0000 6.3972 0.0000
-6.8585 0.0000 3.5047
Se Li Cr
12 4 4
Cartesian
15.2498 2.0939 0.8216
4.5223 2.2417 0.9423
-2.5884 4.3032 1.5032
8.1390 4.1554 1.3825
10.8530 0.9568 2.1048
0.4266 2.9930 2.0178
8.9191 1.1046 -0.3408
3.7422 5.2925 2.6657
-0.9545 6.1916 2.6494
13.6158 0.2056 -0.3245
1.8083 5.4403 0.2201
12.2347 3.4042 0.3071
0.7081 1.3703 0.0875
7.0388 1.8282 1.2500
11.9532 5.0268 2.2373
5.6225 4.5689 1.0749
-1.7276 2.0829 1.9034
14.3890 4.3142 0.4214
1.1998 5.2815 2.7637
11.4616 1.1156 -0.4388
```

mass density = 5.09 Mg/m³
magnetic moment = 0.000 μB per atom

***

Energies, relative to the best one, in kJ/mol of atoms: A) 0.0; B) 16.8.

***

A) A plane-wave DFT calculation with PBE was carried out for a relaxed structure of LiCrSe3.

```
LiCrSe3
1.0
-3.9158 1.4299 -1.7168
3.3318 -1.2865 -2.7513
-3.7320 -10.0206 0.1661
Se Li Cr
6 2 2
Cartesian
-2.7990 -7.5154 0.1246
-3.5589 -5.0040 -1.9700
-0.7571 -4.8732 -2.3320
-0.9330 -2.5051 0.0415
-5.0390 -8.9780 -1.9041
0.7229 -0.8992 -2.3979
-1.8831 -7.8965 -2.2819
-2.4329 -1.9807 -2.0201
0.0000 0.0000 0.0000
-1.8660 -5.0103 0.0831
```

mass density = 5.22 Mg/m³
magnetic moment = 0.452 μB per atom

***

B) A plane-wave DFT calculation with PBE was carried out for a relaxed structure of LiCrSe3.

```
LiCrSe3
1.0
-8.3605 6.9026 -2.7764
-7.4761 0.9973 3.9966
3.5691 -1.0310 7.6850
Li Se Cr
4 12 4
Cartesian
-2.3571 1.1180 4.5608
-6.9929 2.2888 9.5078
-9.9105 5.7510 4.3444
-5.2746 4.5802 -0.6027
-4.7969 1.1410 10.5093
-10.5766 5.7567 6.8607
-6.0112 2.3087 7.0972
-9.2565 5.6528 1.6733
-7.5518 4.6047 4.8597
-6.2564 4.5603 1.8080
-4.1703 2.2093 0.3528
-8.0973 4.6596 8.5523
-1.6910 1.1123 2.0445
-7.4707 5.7279 -1.6041
-4.7157 2.2643 4.0454
-3.0111 1.2161 7.2319
-6.1444 4.6472 6.7192
-6.1231 2.2218 2.1859
-6.9921 2.2143 4.7840
-5.2755 4.6547 4.1211
```

mass density = 5.10 Mg/m³
magnetic moment = 0.000 μB per atom

***

Energies, relative to the best one, in kJ/mol of atoms: A) 16.0; B) 0.0.

***

A) A plane-wave DFT calculation with PBE was carried out for a relaxed structure of Li3CrSe.

```
Li3CrSe
1.0
-2.0817 -3.9958 -1.8739
4.1642 -2.4647 0.6295
-1.4620 -1.3305 4.4613
Se Li Cr
1 3 1
Cartesian
0.3102 -3.8955 1.6085
-0.7310 -0.6653 2.2307
-1.0409 -1.9979 -0.9369
2.0821 -1.2323 0.3148
0.0000 0.0000 0.0000
```

mass density = 2.17 Mg/m³
magnetic moment = 1.001 μB per atom

***

B) A plane-wave DFT calculation with PBE was carried out for a relaxed structure of Li3CrSe.

```
Li3CrSe
1.0
-4.5995 -1.1907 0.9501
1.1734 -0.8421 4.6249
-0.9715 4.6205 1.0877
Li Se Cr
3 1 1
Cartesian
0.5867 -0.4210 2.3124
-0.4857 2.3102 0.5439
-2.2997 -0.5954 0.4751
0.0000 0.0000 0.0000
-2.1988 1.2938 3.3314
```

mass density = 2.22 Mg/m³
magnetic moment = 1.006 μB per atom

***

Energies, relative to the best one, in kJ/mol of atoms: A) 55.2; B) 0.0.

***

A) A plane-wave DFT calculation with PBE was carried out for a relaxed structure of LiCrSi2.

```
LiCrSi2
1.0
-1.0519 0.0149 -4.6412
-3.1181 -0.9064 -3.4789
-1.6504 4.0313 0.2614
Li Si Cr
1 2 1
Cartesian
-1.4018 0.7070 -1.9317
-4.3713 2.1985 -6.0288
-4.1653 -0.7433 -7.9942
-2.9622 1.6562 -3.9534
```

mass density = 3.76 Mg/m³
magnetic moment = 0.183 μB per atom

***

B) A plane-wave DFT calculation with PBE was carried out for a relaxed structure of LiCrSi2.

```
LiCrSi2
1.0
-3.6837 -0.3169 -0.4241
-0.3390 -0.8784 3.6003
-0.4030 3.5699 0.8331
Cr Si Li
1 2 1
Cartesian
-2.0433 1.6265 0.2045
0.0000 0.0000 0.0000
-2.0113 -0.5976 1.5881
-0.3710 1.3457 2.2167
```

mass density = 3.74 Mg/m³
magnetic moment = 0.665 μB per atom

***

Energies, relative to the best one, in kJ/mol of atoms: A) 2.9; B) 0.0.

***

A) A plane-wave DFT calculation with PBE was carried out for a relaxed structure of LiCrSi2.

```
LiCrSi2
1.0
3.2183 0.0000 0.0000
0.0000 3.2183 0.0000
0.0000 0.0000 4.9129
Li Cr Si
1 1 2
Cartesian
1.6091 1.6091 3.7191
0.0000 0.0000 2.3508
0.0000 0.0000 4.8612
1.6091 1.6091 1.3512
```

mass density = 3.76 Mg/m³
magnetic moment = 0.227 μB per atom

***

B) A plane-wave DFT calculation with PBE was carried out for a relaxed structure of LiCrSi2.

```
LiCrSi2
1.0
5.8079 0.0211 0.0687
-2.3347 3.9015 -0.0113
1.1385 0.6867 2.2371
Si Li Cr
2 1 1
Cartesian
3.4732 0.3539 1.1529
0.0000 0.0000 0.0000
1.7366 1.9613 0.0287
-0.5981 2.2941 1.1129
```

mass density = 3.79 Mg/m³
magnetic moment = 0.488 μB per atom

***

Energies, relative to the best one, in kJ/mol of atoms: A) 2.8; B) 0.0.